# 1
This record from Alexandria describes a relaxed InWAu2 crystal. The functional is GGA-PBE.

a = 2.9209 Å, b = 4.2024 Å, c = 5.9711 Å
α = 90.00°, β = 92.85°, γ = 90.00°
Space group P2/m (No. 10)
One atom of each set of equivalent atoms:
1 In 0.0000 0.0000 0.0000
2 W 0.0000 0.0000 0.5000
3 Au 0.4821 0.5000 0.2667

Values from the calculation:
* energy of formation: 151 kJ/mol of formula units
* spin magnetization: 0.0 μB/cell

# 2
This record from Alexandria describes a relaxed TaZn2Co crystal. The functional is GGA-PBE.

a = 4.2781 Å, b = 4.2781 Å, c = 6.0672 Å
α = 90.00°, β = 90.00°, γ = 90.00°
Space group I-4m2 (No. 119)
One atom of each set of equivalent atoms:
1 Ta 0.0000 0.0000 0.0000
2 Zn 0.0000 0.0000 0.5000
3 Zn 0.0000 0.5000 0.7500
4 Co 0.0000 0.5000 0.2500

Values from the calculation:
* energy of formation: -14 kJ/mol of formula units
* relative energy among the computed polymorphs: 40 meV per atom
* spin magnetization: 0.0 μB/cell

# 3
This record from Alexandria describes a relaxed Na2Sr4N crystal. The functional is GGA-PBE.

a = 7.3589 Å, b = 8.0900 Å, c = 10.8287 Å
α = 90.00°, β = 109.07°, γ = 90.00°
Space group P2_1/m (No. 11)
One atom of each set of equivalent atoms:
1 Na 0.1384 0.2500 0.4698
2 Na 0.2205 0.7500 0.1115
3 Sr 0.2478 0.5124 0.7861
4 Sr 0.2914 0.2500 0.1650
5 Sr 0.3298 0.7500 0.4880
6 N 0.3745 0.7500 0.7153

Values from the calculation:
* formation energy from raw total energies: -0.19 eV per atom
* relative energy among the computed polymorphs: 5 meV per atom
* spin magnetization: 0.0 μB/cell

# 4
This record from Alexandria describes a relaxed La5Co2Ge crystal. The functional is GGA-PBE.

a = 7.8646 Å, b = 7.8646 Å, c = 13.5039 Å
α = 90.00°, β = 90.00°, γ = 90.00°
Space group I4/mcm (No. 140)
One atom of each set of equivalent atoms:
1 La 0.0000 0.0000 0.0000
2 La 0.1628 0.3372 0.1376
3 Co 0.1330 0.3670 0.5000
4 Ge 0.0000 0.0000 0.2500

Values from the calculation:
* energy of formation: -240 kJ/mol of formula units
* spin magnetization: 0.0 μB/cell

# 5
This record from Alexandria describes a relaxed Cu2ClO crystal. The functional is GGA-PBE.

a = 5.7966 Å, b = 5.7966 Å, c = 5.7966 Å
α = 90.00°, β = 90.00°, γ = 90.00°
Space group Fm-3m (No. 225)
One atom of each set of equivalent atoms:
1 Cu 0.2500 0.2500 0.2500
2 Cl 0.0000 0.0000 0.0000
3 O 0.0000 0.0000 0.5000

Values from the calculation:
* formation energy from raw total energies: 0.24 eV per atom
* relative energy among the computed polymorphs: 693 meV per atom
* spin magnetization: 4.0 μB/cell

# 6
This record from Alexandria describes a relaxed Ac2BiBr2 crystal. The functional is GGA-PBE.

a = 4.7210 Å, b = 4.7210 Å, c = 33.0831 Å
α = 90.00°, β = 90.00°, γ = 120.00°
Space group R-3m (No. 166, hexagonal axes)
One atom of each set of equivalent atoms:
1 Ac 0.0000 0.0000 0.1084
2 Bi 0.0000 0.0000 0.5000
3 Br 0.0000 0.0000 0.2782

Values from the calculation:
* formation energy from raw total energies: -1.46 eV per atom
* spin magnetization: 0.0 μB/cell

# 7
This record from Alexandria describes a relaxed HfTiRhW crystal. The functional is GGA-PBE.

a = 6.4269 Å, b = 6.4269 Å, c = 6.4269 Å
α = 90.00°, β = 90.00°, γ = 90.00°
Space group F-43m (No. 216)
One atom of each set of equivalent atoms:
1 Hf 0.0000 0.0000 0.0000
2 Ti 0.0000 0.0000 0.5000
3 Rh 0.2500 0.2500 0.2500
4 W 0.2500 0.2500 0.7500

Values from the calculation:
* energy of formation: -140 kJ/mol of formula units
* spin magnetization: 0.0 μB/cell

# 8
This record from Alexandria describes a relaxed MnBeTl2 crystal. The functional is GGA-PBE.

a = 4.0406 Å, b = 4.0406 Å, c = 9.5738 Å
α = 90.00°, β = 90.00°, γ = 90.00°
Space group I-4m2 (No. 119)
One atom of each set of equivalent atoms:
1 Mn 0.0000 0.0000 0.0000
2 Be 0.0000 0.5000 0.2500
3 Tl 0.0000 0.0000 0.5000
4 Tl 0.0000 0.5000 0.7500

Values from the calculation:
* energy of formation: 264 kJ/mol of formula units
* relative energy among the computed polymorphs: 255 meV per atom
* spin magnetization: 6.9 μB/cell